(1)
Below is crystalline MnNi2Mo at its relaxed geometry, with properties calculated at the PBE level.

Output
Energy relative to the lowest polymorph listed for this composition ... 0 meV per atom
Space-group type ... No. 139
DFT formation energy ... -15 kJ/mol of formula units

CIF file:
```
data_MnNi2Mo
_chemical_formula_sum 'Mn2 Ni4 Mo2'
_cell_length_a 3.599
_cell_length_b 3.599
_cell_length_c 7.573
_cell_angle_alpha 90.00
_cell_angle_beta 90.00
_cell_angle_gamma 90.00
_symmetry_space_group_name_H-M 'P 1'
_symmetry_Int_Tables_number 1
loop_
_symmetry_equiv_pos_as_xyz
'x,y,z'
loop_
_atom_site_label
_atom_site_type_symbol
_atom_site_fract_x
_atom_site_fract_y
_atom_site_fract_z
Mn1 Mn 0.000 0.000 0.000
Mn2 Mn 0.500 0.500 0.500
Ni1 Ni 0.000 0.500 0.250
Ni2 Ni 0.000 0.500 0.750
Ni3 Ni 0.500 0.000 0.250
Ni4 Ni 0.500 0.000 0.750
Mo1 Mo 0.000 0.000 0.500
Mo2 Mo 0.500 0.500 0.000
```

***

(2)
Below is crystalline KFe2Se2 at its relaxed geometry, with properties calculated at the PBE level.

Output
Space-group type ... No. 139
Formation energy (no corrections) ... -0.4523 eV per atom

CIF file:
```
data_KFe2Se2
_chemical_formula_sum 'K2 Fe4 Se4'
_cell_length_a 3.836
_cell_length_b 3.836
_cell_length_c 13.357
_cell_angle_alpha 90.00
_cell_angle_beta 90.00
_cell_angle_gamma 90.00
_symmetry_space_group_name_H-M 'P 1'
_symmetry_Int_Tables_number 1
loop_
_symmetry_equiv_pos_as_xyz
'x,y,z'
loop_
_atom_site_label
_atom_site_type_symbol
_atom_site_fract_x
_atom_site_fract_y
_atom_site_fract_z
K1 K 0.000 0.000 0.000
K2 K 0.500 0.500 0.500
Fe1 Fe 0.000 0.500 0.250
Fe2 Fe 0.000 0.500 0.750
Fe3 Fe 0.500 0.000 0.250
Fe4 Fe 0.500 0.000 0.750
Se1 Se 0.000 0.000 0.348
Se2 Se 0.000 0.000 0.652
Se3 Se 0.500 0.500 0.152
Se4 Se 0.500 0.500 0.848
```

***

(3)
Below is crystalline Pm2Nd2DyEr at its relaxed geometry, with properties calculated at the PBE level.

Output
Space-group type ... No. 51
DFT formation energy ... 34 kJ/mol of formula units

CIF file:
```
data_Pm2Nd2DyEr
_chemical_formula_sum 'Pm4 Nd4 Dy2 Er2'
_cell_length_a 7.076
_cell_length_b 5.707
_cell_length_c 9.890
_cell_angle_alpha 90.00
_cell_angle_beta 90.00
_cell_angle_gamma 90.00
_symmetry_space_group_name_H-M 'P 1'
_symmetry_Int_Tables_number 1
loop_
_symmetry_equiv_pos_as_xyz
'x,y,z'
loop_
_atom_site_label
_atom_site_type_symbol
_atom_site_fract_x
_atom_site_fract_y
_atom_site_fract_z
Pm1 Pm 0.250 0.000 0.163
Pm2 Pm 0.250 0.500 0.669
Pm3 Pm 0.750 0.000 0.837
Pm4 Pm 0.750 0.500 0.331
Nd1 Nd 0.000 0.500 0.000
Nd2 Nd 0.250 0.000 0.823
Nd3 Nd 0.500 0.500 0.000
Nd4 Nd 0.750 0.000 0.177
Dy1 Dy 0.250 0.500 0.342
Dy2 Dy 0.750 0.500 0.658
Er1 Er 0.000 0.000 0.500
Er2 Er 0.500 0.000 0.500
```

***

(4)
Below is crystalline Sm3InPb at its relaxed geometry, with properties calculated at the PBE level.

Output
Space-group type ... No. 15
DFT formation energy ... -183 kJ/mol of formula units

CIF file:
```
data_Sm3InPb
_chemical_formula_sum 'Sm12 In4 Pb4'
_cell_length_a 8.828
_cell_length_b 8.828
_cell_length_c 11.406
_cell_angle_alpha 100.56
_cell_angle_beta 100.56
_cell_angle_gamma 43.55
_symmetry_space_group_name_H-M 'P 1'
_symmetry_Int_Tables_number 1
loop_
_symmetry_equiv_pos_as_xyz
'x,y,z'
loop_
_atom_site_label
_atom_site_type_symbol
_atom_site_fract_x
_atom_site_fract_y
_atom_site_fract_z
Sm1 Sm 0.151 0.559 0.043
Sm2 Sm 0.173 0.716 0.516
Sm3 Sm 0.189 0.221 0.239
Sm4 Sm 0.221 0.189 0.739
Sm5 Sm 0.284 0.827 0.984
Sm6 Sm 0.441 0.849 0.457
Sm7 Sm 0.559 0.151 0.543
Sm8 Sm 0.716 0.173 0.016
Sm9 Sm 0.779 0.811 0.261
Sm10 Sm 0.811 0.779 0.761
Sm11 Sm 0.827 0.284 0.484
Sm12 Sm 0.849 0.441 0.957
In1 In 0.370 0.460 0.790
In2 In 0.460 0.370 0.290
In3 In 0.540 0.630 0.710
In4 In 0.630 0.540 0.210
Pb1 Pb 0.000 0.500 0.500
Pb2 Pb 0.066 0.934 0.250
Pb3 Pb 0.500 0.000 0.000
Pb4 Pb 0.934 0.066 0.750
```